Compound: HfFe2Re
Source: OQMD
Functional: PBE-GGA
Structure: relaxed

Cell and atoms, written as POSCAR:
```
HfFe2Re
1.0
-3.4277 0.2427 2.6346
-0.9337 3.7250 2.0003
-3.4850 2.2798 -1.1858
Re Fe Hf
1 2 1
direct
0.7500 0.7500 0.7500
0.2500 0.2500 0.2500
0.0000 0.0000 0.0000
0.5000 0.5000 0.5000
```

For the total energy, the calculation gives -9.6437 eV per atom. Its energy of formation from the pure elements is 0.1052 eV/atom.